1.
V2GeHBr after structural relaxation. Source: the Alexandria database, functional PBE.

a b c (Å): 4.9488 5.3309 4.9488
angles (deg): 90.00 90.00 90.00
Last column: nearest neighbours and their distance in Å.
Fractional positions:
H 0.5000 0.5000 0.5000  4 Br 3.50, 8 V 3.64
Ge 0.0000 0.0000 0.0000  4 V 2.47, 2 Br 2.67
Br 0.0000 0.5000 0.0000  2 Ge 2.67
V 0.0000 0.0000 0.5000  2 Ge 2.47
V 0.5000 0.0000 0.0000  2 Ge 2.47

Computed properties:
- density of states at the Fermi level (states/eV per atom) = 0.72
- SG = No. 123
- energy (eV per cell) = -21.493



2.
LiCaCdBr2 after structural relaxation. Source: the Alexandria database, functional PBE.

a b c (Å): 5.8814 5.9262 5.8814
angles (deg): 90.00 90.00 90.00
Last column: nearest neighbours and their distance in Å.
Fractional positions:
Ca 0.0000 0.5000 0.0000  2 Cd 2.96
Li 0.5000 0.5000 0.5000  4 Ca 4.16, 8 Br 4.17
Br 0.0000 0.0000 0.5000  2 Cd 2.94
Br 0.5000 0.0000 0.0000  2 Cd 2.94
Cd 0.0000 0.0000 0.0000  4 Br 2.94, 2 Ca 2.96

Computed properties:
- density of states at the Fermi level (states/eV per atom) = 0.51
- SG = No. 123
- formation energy (no corrections) (eV per atom) = -0.191
- energy (eV per cell) = -9.131



3.
Y3PtPb2 after structural relaxation. Source: the Alexandria database, functional PBE.

a b c (Å): 4.5542 11.7078 12.3646
angles (deg): 90.00 90.00 90.00
Last column: nearest neighbours and their distance in Å.
Fractional positions:
Y 0.2500 0.3695 0.0553  1 Pt 2.95, 4 Pb 3.14
Y 0.7500 0.6305 0.9447  1 Pt 2.95, 4 Pb 3.14
Y 0.7500 0.8695 0.4447  1 Pt 2.95, 4 Pb 3.14
Y 0.2500 0.1305 0.5553  1 Pt 2.95, 4 Pb 3.14
Y 0.2500 0.7018 0.2414  2 Pt 2.97, 2 Pb 3.12-3.30
Y 0.7500 0.2982 0.7586  2 Pt 2.97, 2 Pb 3.12-3.30
Y 0.7500 0.2018 0.2586  2 Pt 2.97, 2 Pb 3.12-3.30
Y 0.2500 0.7982 0.7414  2 Pt 2.97, 2 Pb 3.12-3.30
Y 0.2500 0.4497 0.3795  3 Pt 3.08-3.12, 5 Pb 3.17-3.37, 1 Y 3.41
Y 0.7500 0.5503 0.6205  3 Pt 3.08-3.12, 5 Pb 3.17-3.37, 1 Y 3.41
Y 0.7500 0.9497 0.1205  3 Pt 3.08-3.12, 5 Pb 3.17-3.37, 1 Y 3.41
Y 0.2500 0.0503 0.8795  3 Pt 3.08-3.12, 5 Pb 3.17-3.37, 1 Y 3.41
Pt 0.2500 0.1274 0.1212  3 Pb 2.87-2.90, 6 Y 2.95-3.12
Pt 0.7500 0.8726 0.8788  3 Pb 2.87-2.90, 6 Y 2.95-3.12
Pt 0.7500 0.6274 0.3788  3 Pb 2.87-2.90, 6 Y 2.95-3.12
Pt 0.2500 0.3726 0.6212  3 Pb 2.87-2.90, 6 Y 2.95-3.12
Pb 0.2500 0.6966 0.5080  2 Pt 2.90, 5 Y 3.12-3.17
Pb 0.7500 0.3034 0.4920  2 Pt 2.90, 5 Y 3.12-3.17
Pb 0.7500 0.1966 0.9920  2 Pt 2.90, 5 Y 3.12-3.17
Pb 0.2500 0.8034 0.0080  2 Pt 2.90, 5 Y 3.12-3.17
Pb 0.2500 0.9946 0.3164  1 Pt 2.87, 2 Y 3.14
Pb 0.7500 0.0054 0.6836  1 Pt 2.87, 2 Y 3.14
Pb 0.7500 0.4946 0.1836  1 Pt 2.87, 2 Y 3.14
Pb 0.2500 0.5054 0.8164  1 Pt 2.87, 2 Y 3.14

Computed properties:
- density of states at the Fermi level (states/eV per atom) = 0.65
- energy of formation from the pure elements (eV/f.u.) = -4.38
- SG = No. 62
- energy (eV per cell) = -148.934



4.
AcPr4Nd2Dy after structural relaxation. Source: the Alexandria database, functional PBE.

a b c (Å): 5.2691 5.2427 11.7680
angles (deg): 63.52 90.00 90.00
Last column: nearest neighbours and their distance in Å.
Fractional positions:
Ac 0.5000 0.5000 0.0000  4 Nd 3.72, 8 Pr 3.77-3.78
Pr 0.0000 0.7577 0.7424  2 Dy 3.66, 4 Nd 3.67-3.77, 4 Pr 3.72, 2 Ac 3.78
Pr 0.0000 0.2423 0.2576  2 Dy 3.66, 4 Nd 3.67-3.77, 4 Pr 3.72, 2 Ac 3.78
Pr 0.5000 0.7421 0.2576  4 Nd 3.66-3.78, 2 Dy 3.67, 4 Pr 3.72, 2 Ac 3.77
Pr 0.5000 0.2579 0.7424  4 Nd 3.66-3.78, 2 Dy 3.67, 4 Pr 3.72, 2 Ac 3.77
Nd 0.0000 0.0000 0.0000  4 Ac 3.72, 8 Pr 3.77-3.78
Nd 0.5000 0.0000 0.5000  8 Pr 3.66-3.67, 4 Dy 3.72
Dy 0.0000 0.5000 0.5000  8 Pr 3.66-3.67, 4 Nd 3.72

Computed properties:
- density of states at the Fermi level (states/eV per atom) = 1.57
- energy of formation from the pure elements (eV/f.u.) = 0.15
- SG = No. 47
- energy (eV per cell) = -37.213



5.
Tm2Mn9Re after structural relaxation. Source: the Alexandria database, functional PBE.

a b c (Å): 4.8054 4.8055 8.6022
angles (deg): 74.55 74.54 62.23
Last column: nearest neighbours and their distance in Å.
Fractional positions:
Tm 0.1391 0.1391 0.5790  12 Mn 2.83-3.15, 3 Tm 3.00-3.13
Tm 0.8609 0.8609 0.4210  12 Mn 2.83-3.15, 3 Tm 3.00-3.13
Mn 0.3385 0.3385 0.9969  6 Mn 2.37-2.41
Mn 0.6615 0.6615 0.0031  6 Mn 2.37-2.41
Mn 0.5000 0.5000 0.5000  6 Mn 2.50-2.63
Mn 0.5794 0.5794 0.7578  7 Mn 2.37-2.50
Mn 0.5734 0.0703 0.7680  7 Mn 2.37-2.63
Mn 0.0703 0.5735 0.7680  7 Mn 2.37-2.63
Mn 0.4206 0.4206 0.2422  7 Mn 2.37-2.50
Mn 0.9297 0.4265 0.2320  7 Mn 2.37-2.63
Mn 0.4266 0.9297 0.2320  7 Mn 2.37-2.63
Re 0.0000 0.0000 0.0000  14 Mn 2.78-3.08

Computed properties:
- density of states at the Fermi level (states/eV per atom) = 1.26
- energy of formation from the pure elements (eV/f.u.) = 2.30
- SG = No. 12
- energy (eV per cell) = -101.622



6.
Mg3Si4 after structural relaxation. Source: the Alexandria database, functional PBE.

a b c (Å): 5.5584 7.2728 7.4566
angles (deg): 108.96 98.50 107.79
Last column: nearest neighbours and their distance in Å.
Fractional positions:
Mg 0.9841 0.6028 0.5537  5 Si 2.72-2.90
Mg 0.5175 0.7532 0.4002  5 Si 2.83-2.94, 2 Mg 3.09
Mg 0.5261 0.1097 0.8181  6 Si 2.62-2.90
Mg 0.6439 0.7307 0.9403  6 Si 2.73-3.02
Mg 0.0756 0.9757 0.3775  7 Si 2.86-3.18, 2 Mg 3.09-3.13
Mg 0.1910 0.2812 0.1582  6 Si 2.71-2.89
Si 0.0676 0.3222 0.7359  4 Si 2.40-2.43
Si 0.2322 0.9023 0.0054  3 Si 2.34-2.55
Si 0.7250 0.4799 0.1623  2 Si 2.42-2.59
Si 0.1086 0.5848 0.0470  3 Si 2.34-2.42
Si 0.9615 0.9808 0.7538  2 Si 2.42-2.55
Si 0.6310 0.2047 0.5205  3 Si 2.33-2.44
Si 0.3870 0.4369 0.5670  2 Si 2.42-2.44
Si 0.6954 0.1354 0.2068  3 Si 2.33-2.59

Computed properties:
- density of states at the Fermi level (states/eV per atom) = 0.36
- SG = No. 1
- polymorph energy (0 for the lowest one) (eV/atom) = 0.024
- formation energy (no corrections) (eV per atom) = 0.076
- energy (eV per cell) = -51.886



7.
NpCu3I8 after structural relaxation. Source: the Alexandria database, functional PBE.

a b c (Å): 8.2039 8.3105 8.8182
angles (deg): 118.09 90.00 119.58
Last column: nearest neighbours and their distance in Å.
Fractional positions:
Np 0.0000 0.0000 0.0000  6 I 2.98-3.00
Cu 0.5000 0.0000 0.0000  6 I 2.74-2.96
Cu 0.5000 0.5000 0.0000  4 I 2.70-2.94
Cu 0.0000 0.5000 0.0000  4 I 2.70-2.94
I 0.2751 0.5501 0.8268  3 Cu 2.70-2.74
I 0.7249 0.4499 0.1732  3 Cu 2.70-2.74
I 0.2517 0.9998 0.7559  2 Cu 2.96-3.05, 1 Np 2.98
I 0.7481 0.9998 0.7559  2 Cu 2.96-3.05, 1 Np 2.98
I 0.7538 0.5076 0.7643  2 Cu 2.94, 1 Np 3.00
I 0.2462 0.4924 0.2357  2 Cu 2.94, 1 Np 3.00
I 0.2519 0.0002 0.2441  2 Cu 2.96-3.05, 1 Np 2.98
I 0.7483 0.0002 0.2441  2 Cu 2.96-3.05, 1 Np 2.98

Computed properties:
- density of states at the Fermi level (states/eV per atom) = 1.33
- SG = No. 12
- formation energy (no corrections) (eV per atom) = -0.329
- energy (eV per cell) = -41.573



8.
NaLaAg after structural relaxation. Source: the Alexandria database, functional PBE.

a b c (Å): 3.6701 3.6701 7.1006
angles (deg): 104.98 104.98 90.00
Last column: nearest neighbours and their distance in Å.
Fractional positions:
Na 0.3052 0.3052 0.6103  4 Ag 3.16
Ag 0.6689 0.6689 0.3378  4 Na 3.16, 4 La 3.21
La 0.0260 0.0260 0.0519  4 Ag 3.21

Computed properties:
- density of states at the Fermi level (states/eV per atom) = 1.12
- energy of formation from the pure elements (eV/f.u.) = 0.03
- SG = No. 107
- polymorph energy (0 for the lowest one) (eV/atom) = 0.084
- energy (eV per cell) = -9.067



9.
ErTl2Zn after structural relaxation. Source: the Alexandria database, functional PBE.

a b c (Å): 3.4519 3.4519 11.0136
angles (deg): 80.98 80.98 60.00
Last column: nearest neighbours and their distance in Å.
Fractional positions:
Tl 0.0961 0.0961 0.7118  3 Zn 3.04, 1 Er 3.12
Tl 0.9039 0.9039 0.2882  3 Zn 3.04, 1 Er 3.12
Zn 0.5000 0.5000 0.5000  6 Tl 3.04
Er 0.0000 0.0000 0.0000  2 Tl 3.12, 6 Er 3.45

Computed properties:
- density of states at the Fermi level (states/eV per atom) = 0.76
- energy of formation from the pure elements (eV/f.u.) = 0.75
- SG = No. 166
- energy (eV per cell) = -9.820



10.
InCoW2 after structural relaxation. Source: the Alexandria database, functional PBE.

a b c (Å): 4.2891 2.8021 5.4445
angles (deg): 80.94 90.00 90.00
Last column: nearest neighbours and their distance in Å.
Fractional positions:
Co 0.0000 0.6330 0.4667  3 W 2.51-2.71, 2 In 2.63, 2 Co 2.80
In 0.5000 0.6083 0.7472  2 Co 2.63, 2 In 2.80, 4 W 2.86-2.93
W 0.0000 0.0167 0.0180  1 Co 2.51, 4 W 2.67-2.80
W 0.5000 0.2420 0.2680  4 W 2.67-2.80, 4 Co 2.71-2.85, 3 In 2.86-2.95

Computed properties:
- density of states at the Fermi level (states/eV per atom) = 1.10
- energy of formation from the pure elements (eV/f.u.) = 1.72
- SG = No. 6
- energy (eV per cell) = -34.033



11.
SrZnInNiSe after structural relaxation. Source: the Alexandria database, functional PBE.

a b c (Å): 4.4150 4.0251 6.9679
angles (deg): 90.00 108.53 90.00
Last column: nearest neighbours and their distance in Å.
Fractional positions:
Sr 0.5048 0.0000 0.7705  4 Se 3.15-3.16, 2 Ni 3.23, 2 Zn 3.43
Zn 0.2948 0.5000 0.3500  2 Ni 2.49
In 0.7901 0.0000 0.3394  2 Ni 2.61
Ni 0.1838 0.0000 0.1279  2 Se 2.42, 2 Zn 2.49, 2 In 2.61
Se 0.0813 0.5000 0.9245  2 Ni 2.42

Computed properties:
- density of states at the Fermi level (states/eV per atom) = 0.61
- SG = No. 6
- polymorph energy (0 for the lowest one) (eV/atom) = 0.121
- formation energy (no corrections) (eV per atom) = -0.525
- energy (eV per cell) = -17.584



Question: What is the formula in the sixth record?
Answer: Mg3Si4